No. 1
Computed, not measured: a relaxed ScNb2B2 crystal at the PBE level of DFT. Values from VASP.

The structure in Quantum ESPRESSO input format:
```
&SYSTEM
  ibrav = 0, nat = 10, ntyp = 3
/
ATOMIC_SPECIES
Nb 92.91 Nb.upf
B 10.81 B.upf
Sc 44.96 Sc.upf
ATOMIC_POSITIONS crystal
Nb 0.1733 0.6733 0.5000
Nb 0.3267 0.1733 0.5000
Nb 0.8267 0.3267 0.5000
Nb 0.6733 0.8267 0.5000
B 0.3986 0.8986 0.0000
B 0.1014 0.3986 0.0000
B 0.6014 0.1014 0.0000
B 0.8986 0.6014 0.0000
Sc 0.5000 0.5000 0.0000
Sc 0.0000 0.0000 0.0000
CELL_PARAMETERS angstrom
-5.2592 3.4403 0.3916
-1.0951 -0.9771 -6.1232
-1.7371 -2.7406 0.7479
```

## Properties
Crystal system: tetragonal
Density of states at the Fermi level (states/eV per cell): 7.4
Calculated formation energy (eV per atom): -0.453
Theoretical density (Mg/m³): 6.3

No. 2
Computed, not measured: a relaxed CdTcCl2 crystal at the PBE level of DFT. Values from VASP.

The structure in Quantum ESPRESSO input format:
```
&SYSTEM
  ibrav = 0, nat = 4, ntyp = 3
/
ATOMIC_SPECIES
Cd 112.41 Cd.upf
Tc 98.00 Tc.upf
Cl 35.45 Cl.upf
ATOMIC_POSITIONS crystal
Cd 0.5000 0.5000 0.0000
Tc 0.0000 0.5000 0.5000
Cl 0.5000 0.0000 0.5000
Cl 0.0000 0.0000 0.0000
CELL_PARAMETERS angstrom
-4.8002 2.7601 0.5863
0.0854 -5.4638 -0.8060
-0.3259 -1.5209 2.9186
```

## Properties
Crystal system: monoclinic
Density of states at the Fermi level (states/eV per cell): 2.5
E above lowest polymorph (meV/atom): 549.2
Formation energy without anion corrections (eV per atom): 0.34
Theoretical density (Mg/m³): 5.7

No. 3
Computed, not measured: a relaxed FeGeRh3 crystal at the PBE level of DFT. Values from VASP.

The structure in Quantum ESPRESSO input format:
```
&SYSTEM
  ibrav = 0, nat = 5, ntyp = 3
/
ATOMIC_SPECIES
Rh 102.91 Rh.upf
Ge 72.64 Ge.upf
Fe 55.84 Fe.upf
ATOMIC_POSITIONS crystal
Rh 0.0000 0.0000 0.5000
Rh 0.5000 0.0000 0.0000
Rh 0.0000 0.5000 0.0000
Ge 0.0000 0.0000 0.0000
Fe 0.5000 0.5000 0.5000
CELL_PARAMETERS angstrom
-2.9764 3.2602 -0.8408
-3.1911 -2.3738 2.0920
1.0736 1.9826 3.8873
```

## Properties
Crystal system: cubic
Density of states at the Fermi level (states/eV per cell): 12.0
E above lowest polymorph (meV/atom): 0.0
Calculated formation energy (eV per atom): 0.716
Theoretical density (Mg/m³): 8.0

No. 4
Computed, not measured: a relaxed ZrSi3Pd3 crystal at the PBE level of DFT. Values from VASP.

The structure in Quantum ESPRESSO input format:
```
&SYSTEM
  ibrav = 0, nat = 14, ntyp = 3
/
ATOMIC_SPECIES
Pd 106.42 Pd.upf
Si 28.09 Si.upf
Zr 91.22 Zr.upf
ATOMIC_POSITIONS crystal
Pd 0.1752 0.8248 0.4469
Pd 0.8248 0.1752 0.5531
Pd 0.1752 0.8248 0.0531
Pd 0.8248 0.1752 0.9469
Pd 0.6597 0.3403 0.7500
Pd 0.3403 0.6597 0.2500
Si 0.4265 0.5735 0.5312
Si 0.5735 0.4265 0.0312
Si 0.5735 0.4265 0.4688
Si 0.2619 0.7381 0.7500
Si 0.7381 0.2619 0.2500
Si 0.4265 0.5735 0.9688
Zr 0.9898 0.0102 0.2500
Zr 0.0102 0.9898 0.7500
CELL_PARAMETERS angstrom
8.0767 -0.0012 0.0000
-7.1641 3.7293 0.0000
0.0000 0.0000 7.1389
```

## Properties
Crystal system: orthorhombic
Density of states at the Fermi level (states/eV per cell): 3.7
Formation energy without anion corrections (eV per atom): -0.73
Theoretical density (Mg/m³): 7.6

No. 5
Computed, not measured: a relaxed BaY2Sb crystal at the PBE level of DFT. Values from VASP.

The structure in Quantum ESPRESSO input format:
```
&SYSTEM
  ibrav = 0, nat = 4, ntyp = 3
/
ATOMIC_SPECIES
Sb 121.76 Sb.upf
Ba 137.33 Ba.upf
Y 88.91 Y.upf
ATOMIC_POSITIONS crystal
Sb 0.7500 0.7500 0.7500
Ba 0.2500 0.2500 0.2500
Y 0.4491 0.4491 0.5510
Y 0.0509 0.0509 0.9490
CELL_PARAMETERS angstrom
6.9978 -0.0034 0.0013
5.8422 3.8519 0.0013
2.5355 0.7600 5.3416
```

## Properties
Crystal system: orthorhombic
Density of states at the Fermi level (states/eV per cell): 5.6
Formation energy without anion corrections (eV per atom): -0.40
Theoretical density (Mg/m³): 5.0

V (Å³/f.u.)
66.0 81.3 90.8 107.5 144.1